No. 1
# HfGa2Ru, optimized geometry, DFT PBE
# Energy of formation from the pure elements = -0.136 eV per atom
# Electronic total energy = -6.456 eV per atom
data_HfGa2Ru
_cell_length_a 3.813
_cell_length_b 3.813
_cell_length_c 19.552
_cell_angle_alpha 90.00
_cell_angle_beta 90.00
_cell_angle_gamma 90.00
_space_group_name_H-M_alt 'I -4 2 d'
_space_group_IT_number 122
_space_group_name_Hall 'I -4 2bw'
loop_
_atom_site_label
_atom_site_type_symbol
_atom_site_fract_x
_atom_site_fract_y
_atom_site_fract_z
Hf1 Hf 0.000 0.000 0.000
Ga1 Ga 0.242 0.250 0.625
Ru1 Ru 0.000 0.000 0.500

No. 2
# Hf6GaRu, optimized geometry, DFT PBE
# Energy of formation from the pure elements = -0.206 eV per atom
# Electronic total energy = -9.209 eV per atom
data_Hf6GaRu
_cell_length_a 5.472
_cell_length_b 5.472
_cell_length_c 5.480
_cell_angle_alpha 93.66
_cell_angle_beta 93.48
_cell_angle_gamma 93.76
_space_group_name_H-M_alt 'P -1'
_space_group_IT_number 2
loop_
_space_group_symop_operation_xyz
'x,y,z'
'-x,-y,-z'
loop_
_atom_site_label
_atom_site_type_symbol
_atom_site_fract_x
_atom_site_fract_y
_atom_site_fract_z
Hf1 Hf 0.018 0.055 0.258
Hf2 Hf 0.242 0.483 0.945
Hf3 Hf 0.446 0.742 0.482
Ga1 Ga 0.500 0.000 0.000
Ru1 Ru 0.000 0.500 0.500

No. 3
# Hf3Ga4Ru, optimized geometry, DFT PBE
# Energy of formation from the pure elements = -0.404 eV per atom
# Electronic total energy = -6.810 eV per atom
data_Hf3Ga4Ru
_cell_length_a 8.791
_cell_length_b 5.616
_cell_length_c 5.795
_cell_angle_alpha 90.00
_cell_angle_beta 90.00
_cell_angle_gamma 90.00
_space_group_name_H-M_alt 'P m n 21'
_space_group_IT_number 31
loop_
_space_group_symop_operation_xyz
'x,y,z'
'-x+1/2,-y,z+1/2'
'-x,y,z'
'x+1/2,-y,z+1/2'
loop_
_atom_site_label
_atom_site_type_symbol
_atom_site_fract_x
_atom_site_fract_y
_atom_site_fract_z
Hf1 Hf 0.000 0.128 0.000
Hf2 Hf 0.206 0.608 0.204
Ga1 Ga 0.000 0.595 0.833
Ga2 Ga 0.000 0.907 0.481
Ga3 Ga 0.249 0.893 0.793
Ru1 Ru 0.000 0.366 0.446

No. 4
# HfGa5Ru6, optimized geometry, DFT PBE
# Energy of formation from the pure elements = -0.432 eV per atom
# Electronic total energy = -7.161 eV per atom
data_HfGa5Ru6
_cell_length_a 4.350
_cell_length_b 12.989
_cell_length_c 6.129
_cell_angle_alpha 90.00
_cell_angle_beta 90.00
_cell_angle_gamma 90.00
_space_group_name_H-M_alt 'C m m m'
_space_group_IT_number 65
_space_group_name_Hall '-C 2 2'
loop_
_atom_site_label
_atom_site_type_symbol
_atom_site_fract_x
_atom_site_fract_y
_atom_site_fract_z
Hf1 Hf 0.000 0.000 0.000
Ga1 Ga 0.000 0.000 0.500
Ga2 Ga 0.000 0.335 0.500
Ga3 Ga 0.000 0.338 0.000
Ru1 Ru 0.000 0.173 0.254
Ru2 Ru 0.000 0.500 0.264

No. 5
# HfGa2Ru, optimized geometry, DFT PBE
# Energy of formation from the pure elements = -0.369 eV per atom
# Electronic total energy = -6.690 eV per atom
data_HfGa2Ru
_cell_length_a 3.106
_cell_length_b 3.106
_cell_length_c 6.700
_cell_angle_alpha 90.00
_cell_angle_beta 90.00
_cell_angle_gamma 90.00
_space_group_name_H-M_alt 'P 4/m m m'
_space_group_IT_number 123
_space_group_name_Hall '-P 4 2'
loop_
_atom_site_label
_atom_site_type_symbol
_atom_site_fract_x
_atom_site_fract_y
_atom_site_fract_z
Hf1 Hf 0.000 0.000 0.000
Ga1 Ga 0.500 0.500 0.290
Ru1 Ru 0.000 0.000 0.500

No. 6
# HfGa3Ru4, optimized geometry, DFT PBE
# Energy of formation from the pure elements = -0.462 eV per atom
# Electronic total energy = -7.479 eV per atom
data_HfGa3Ru4
_cell_length_a 3.152
_cell_length_b 4.329
_cell_length_c 8.617
_cell_angle_alpha 90.00
_cell_angle_beta 90.00
_cell_angle_gamma 90.00
_space_group_name_H-M_alt 'P m m m'
_space_group_IT_number 47
loop_
_space_group_symop_operation_xyz
'x,y,z'
'-x,-y,-z'
'-x,-y,z'
'x,y,-z'
'x,-y,-z'
'-x,y,z'
'-x,y,-z'
'x,-y,z'
loop_
_atom_site_label
_atom_site_type_symbol
_atom_site_fract_x
_atom_site_fract_y
_atom_site_fract_z
Hf1 Hf 0.000 0.000 0.000
Ga1 Ga 0.000 0.000 0.500
Ga2 Ga 0.000 0.500 0.250
Ru1 Ru 0.500 0.000 0.261
Ru2 Ru 0.500 0.500 0.000
Ru3 Ru 0.500 0.500 0.500

No. 7
# Hf12Ga6Ru, optimized geometry, DFT PBE
# Energy of formation from the pure elements = 0.030 eV per atom
# Electronic total energy = -7.700 eV per atom
data_Hf12Ga6Ru
_cell_length_a 11.4913
_cell_length_b 11.4913
_cell_length_c 10.9898
_cell_angle_alpha 90.00
_cell_angle_beta 90.00
_cell_angle_gamma 120.00
_space_group_name_H-M_alt 'R -3'
_space_group_IT_number 148
_space_group_name_Hall '-R 3'
loop_
_atom_site_label
_atom_site_type_symbol
_atom_site_fract_x
_atom_site_fract_y
_atom_site_fract_z
Hf1 Hf 0.0375 0.1914 0.3864
Hf2 Hf 0.0603 0.1905 0.8568
Ga1 Ga 0.0369 0.4267 0.3007
Ru1 Ru 0.0000 0.0000 0.0000

No. 8
# HfGaRuS2, optimized geometry, DFT PBE
# Electronic total energy = -5.757 eV per atom
# Formation energy from raw total energies = 166.4 kJ/mol of formula units
data_HfGaRuS2
_cell_length_a 4.836
_cell_length_b 4.836
_cell_length_c 4.798
_cell_angle_alpha 90.00
_cell_angle_beta 90.00
_cell_angle_gamma 90.00
_space_group_name_H-M_alt 'P 4/m m m'
_space_group_IT_number 123
_space_group_name_Hall '-P 4 2'
loop_
_atom_site_label
_atom_site_type_symbol
_atom_site_fract_x
_atom_site_fract_y
_atom_site_fract_z
Hf1 Hf 0.000 0.000 0.000
Ga1 Ga 0.500 0.500 0.000
Ru1 Ru 0.000 0.000 0.500
S1 S 0.000 0.500 0.500

No. 9
# HfScGaRu, optimized geometry, DFT PBE
# Energy of formation from the pure elements = -0.637 eV per atom
# Electronic total energy = -7.784 eV per atom
data_HfScGaRu
_cell_length_a 3.276
_cell_length_b 3.276
_cell_length_c 6.645
_cell_angle_alpha 90.00
_cell_angle_beta 90.00
_cell_angle_gamma 90.00
_space_group_name_H-M_alt 'P 4 m m'
_space_group_IT_number 99
loop_
_space_group_symop_operation_xyz
'x,y,z'
'-y,x,z'
'-x,-y,z'
'y,-x,z'
'-x,y,z'
'y,x,z'
'x,-y,z'
'-y,-x,z'
loop_
_atom_site_label
_atom_site_type_symbol
_atom_site_fract_x
_atom_site_fract_y
_atom_site_fract_z
Hf1 Hf 0.000 0.000 0.000
Sc1 Sc 0.000 0.000 0.525
Ga1 Ga 0.500 0.500 0.264
Ru1 Ru 0.500 0.500 0.771

No. 10
# Hf2ScGaRu, optimized geometry, DFT PBE
# Energy of formation from the pure elements = 0.155 eV per atom
# Electronic total energy = -7.554 eV per atom
data_Hf2ScGaRu
_cell_length_a 4.919
_cell_length_b 4.919
_cell_length_c 4.833
_cell_angle_alpha 90.00
_cell_angle_beta 90.00
_cell_angle_gamma 90.00
_space_group_name_H-M_alt 'P 4/m m m'
_space_group_IT_number 123
_space_group_name_Hall '-P 4 2'
loop_
_atom_site_label
_atom_site_type_symbol
_atom_site_fract_x
_atom_site_fract_y
_atom_site_fract_z
Hf1 Hf 0.000 0.500 0.000
Sc1 Sc 0.000 0.000 0.500
Ga1 Ga 0.500 0.500 0.500
Ru1 Ru 0.500 0.500 0.000

No. 11
# HfSc2Ga2Ru5, optimized geometry, DFT PBE
# Energy of formation from the pure elements = -0.395 eV per atom
# Electronic total energy = -7.900 eV per atom
data_HfSc2Ga2Ru5
_cell_length_a 9.725
_cell_length_b 9.725
_cell_length_c 3.484
_cell_angle_alpha 90.00
_cell_angle_beta 90.00
_cell_angle_gamma 90.00
_space_group_name_H-M_alt 'P 4/m b m'
_space_group_IT_number 127
_space_group_name_Hall '-P 4 2ab'
loop_
_atom_site_label
_atom_site_type_symbol
_atom_site_fract_x
_atom_site_fract_y
_atom_site_fract_z
Hf1 Hf 0.000 0.000 0.000
Sc1 Sc 0.169 0.331 0.000
Ga1 Ga 0.129 0.629 0.000
Ru1 Ru 0.000 0.500 0.500
Ru2 Ru 0.071 0.799 0.500

No. 12
# Hf2GaSi2Ru5, optimized geometry, DFT PBE
# Electronic total energy = -8.730 eV per atom
# Formation energy from raw total energies = -688.6 kJ/mol of formula units
data_Hf2GaSi2Ru5
_cell_length_a 9.688
_cell_length_b 9.688
_cell_length_c 3.221
_cell_angle_alpha 90.00
_cell_angle_beta 90.00
_cell_angle_gamma 90.00
_space_group_name_H-M_alt 'P 4/m b m'
_space_group_IT_number 127
_space_group_name_Hall '-P 4 2ab'
loop_
_atom_site_label
_atom_site_type_symbol
_atom_site_fract_x
_atom_site_fract_y
_atom_site_fract_z
Hf1 Hf 0.173 0.327 0.000
Ga1 Ga 0.000 0.000 0.000
Si1 Si 0.128 0.628 0.000
Ru1 Ru 0.000 0.500 0.500
Ru2 Ru 0.067 0.794 0.500

Q: Which DOS at the Fermi energy values were calculated for the entries above? A: 10.52; 8.13; 8.42; 23.82; 3.07; 7.26; 41.71; 5.01; 1.35; 5.48; 24.97; 8.95, in states/eV per cell.